The following is a PBE calculation of an optimized crystal structure of K2Na4ZnSn2, from Alexandria.

ΔE_f ... -1.558 eV/f.u.
Magnetization ... 0.00 μB/atom
E_tot ... -2.03 eV/atom
Calculated volume ... 32.14 Å³/atom

a = 11.6065 Å, b = 10.0117 Å, c = 11.4363 Å
α = 90.00°, β = 119.45°, γ = 90.00°
Last column: nearest neighbours and their distance in Å.
Fractional coordinates of all 36 atoms:
K 0.1486 0.0333 0.4623  1 Zn 3.42, 3 Na 3.62-3.79, 1 Sn 3.71, 1 K 3.79
K 0.1486 0.4667 0.9623  1 Zn 3.42, 3 Na 3.62-3.79, 1 Sn 3.71, 1 K 3.79
K 0.1774 0.1051 0.8813  4 Sn 3.66-3.87, 6 Na 3.68-4.00, 1 K 3.79, 1 Zn 3.89
K 0.1774 0.3949 0.3813  4 Sn 3.66-3.87, 6 Na 3.68-4.00, 1 K 3.79, 1 Zn 3.89
K 0.8226 0.6051 0.6187  4 Sn 3.66-3.87, 6 Na 3.68-4.00, 1 K 3.79, 1 Zn 3.89
K 0.8226 0.8949 0.1187  4 Sn 3.66-3.87, 6 Na 3.68-4.00, 1 K 3.79, 1 Zn 3.89
K 0.8514 0.5333 0.0377  1 Zn 3.42, 3 Na 3.62-3.79, 1 Sn 3.71, 1 K 3.79
K 0.8514 0.9667 0.5377  1 Zn 3.42, 3 Na 3.62-3.79, 1 Sn 3.71, 1 K 3.79
Na 0.0074 0.1800 0.0809  1 Zn 3.19, 3 Sn 3.31-3.52, 1 Na 3.46
Na 0.0074 0.3200 0.5809  1 Zn 3.19, 3 Sn 3.31-3.52, 1 Na 3.46
Na 0.3320 0.7232 0.5700  1 Zn 3.14, 3 Sn 3.30-3.40, 4 Na 3.34-3.48
Na 0.3320 0.7768 0.0700  1 Zn 3.14, 3 Sn 3.30-3.40, 4 Na 3.34-3.48
Na 0.4289 0.5267 0.3048  3 Sn 3.29-3.43, 4 Na 3.40-3.64, 1 K 3.68
Na 0.4289 0.9733 0.8048  3 Sn 3.29-3.43, 4 Na 3.40-3.64, 1 K 3.68
Na 0.4946 0.1578 0.5697  1 Zn 3.07, 2 Sn 3.31-3.43, 2 Na 3.34-3.40
Na 0.4946 0.3422 0.0697  1 Zn 3.07, 2 Sn 3.31-3.43, 2 Na 3.34-3.40
Na 0.5054 0.6578 0.9303  1 Zn 3.07, 2 Sn 3.31-3.43, 2 Na 3.34-3.40
Na 0.5054 0.8422 0.4303  1 Zn 3.07, 2 Sn 3.31-3.43, 2 Na 3.34-3.40
Na 0.5711 0.0267 0.1952  3 Sn 3.29-3.43, 4 Na 3.40-3.64, 1 K 3.68
Na 0.5711 0.4733 0.6952  3 Sn 3.29-3.43, 4 Na 3.40-3.64, 1 K 3.68
Na 0.6680 0.2232 0.9300  1 Zn 3.14, 3 Sn 3.30-3.40, 4 Na 3.34-3.48
Na 0.6680 0.2768 0.4300  1 Zn 3.14, 3 Sn 3.30-3.40, 4 Na 3.34-3.48
Na 0.9926 0.6800 0.4191  1 Zn 3.19, 3 Sn 3.31-3.52, 1 Na 3.46
Na 0.9926 0.8200 0.9191  1 Zn 3.19, 3 Sn 3.31-3.52, 1 Na 3.46
Zn 0.2407 0.5319 0.7259  2 Sn 2.60-2.62
Zn 0.2407 0.9681 0.2259  2 Sn 2.60-2.62
Zn 0.7593 0.0319 0.7741  2 Sn 2.60-2.62
Zn 0.7593 0.4681 0.2741  2 Sn 2.60-2.62
Sn 0.1618 0.7252 0.2374  1 Zn 2.62
Sn 0.1618 0.7748 0.7374  1 Zn 2.62
Sn 0.3533 0.1963 0.2400  1 Zn 2.60
Sn 0.3533 0.3037 0.7400  1 Zn 2.60
Sn 0.6467 0.6963 0.2600  1 Zn 2.60
Sn 0.6467 0.8037 0.7600  1 Zn 2.60
Sn 0.8382 0.2252 0.2626  1 Zn 2.62
Sn 0.8382 0.2748 0.7626  1 Zn 2.62